1.
TaZn3Br | PBEsol | relaxed

Cell: 5.0948 5.0948 5.0948 Å, 90.00 90.00 90.00°
Sites, in units of the cell vectors:
1 Ta 0.0000 0.0000 0.0000
2 Zn 0.0000 0.0000 0.5000
3 Zn 0.0000 0.5000 0.0000
4 Zn 0.5000 0.0000 0.0000
5 Br 0.5000 0.5000 0.5000

## Properties
E_form (uncorrected): 1.14 eV/atom
Magnetic moment: 1.29 μB/cell

=====

2.
ZrTa2Br | PBEsol | relaxed

Cell: 5.4019 5.4019 3.0031 Å, 90.00 90.00 119.94°
Sites, in units of the cell vectors:
1 Zr 0.0000 0.0000 0.0000
2 Ta 0.0000 0.5000 0.5000
3 Ta 0.5000 0.0000 0.5000
4 Br 0.5000 0.5000 0.0000

## Properties
E_form (uncorrected): 0.45 eV/atom
Magnetic moment: 0.00 μB/cell

=====

Q: E_form (uncorrected) of number 1 (TaZn3Br)?
A: 1.14 eV/atom

=====

Please write out number 2 again, unchanged.
ZrTa2Br | PBEsol | relaxed

Cell: 5.4019 5.4019 3.0031 Å, 90.00 90.00 119.94°
Sites, in units of the cell vectors:
1 Zr 0.0000 0.0000 0.0000
2 Ta 0.0000 0.5000 0.5000
3 Ta 0.5000 0.0000 0.5000
4 Br 0.5000 0.5000 0.0000

## Properties
E_form (uncorrected): 0.45 eV/atom
Magnetic moment: 0.00 μB/cell

=====

Q: Which value of magnetic moment does entry 2 give?
A: 0.00 μB/cell

=====

Q: Which of these has the lowest E_form (uncorrected)?
A: ZrTa2Br